Record 1
Computed, not measured: a relaxed structure of Ac2PPt at the GGA-PBE level of DFT.

As for the offset from the most stable computed form: 0.342 eV per atom. The calculation puts the formation energy at -92.8 kJ per mole of atoms.

a = 5.347 Å, b = 5.347 Å, c = 5.347 Å
α = 60.00°, β = 60.00°, γ = 60.00°
Atoms (fractional coordinates):
Pt 0.000 0.000 0.000
P 0.500 0.500 0.500
Ac 0.750 0.750 0.750
Ac 0.250 0.250 0.250

=====

Record 2
Computed, not measured: a relaxed structure of AcPPt4 at the GGA-PBE level of DFT.

The calculation puts the formation energy at -79.0 kJ per mole of atoms.

a = 6.224 Å, b = 6.224 Å, c = 7.934 Å
α = 68.29°, β = 68.29°, γ = 56.04°
Atoms (fractional coordinates):
Pt 0.360 0.865 0.606
Ac 0.188 0.188 0.211
P 0.452 0.452 0.794
Pt 0.135 0.640 0.394
Pt 0.758 0.242 0.000
Pt 0.865 0.360 0.606
P 0.548 0.548 0.206
Pt 0.640 0.135 0.394
Pt 0.242 0.758 0.000
Pt 0.261 0.261 0.746
Pt 0.739 0.739 0.254
Ac 0.812 0.812 0.789